# K2SbW3O12 GGA+U relaxed
data_K2SbW3O12
_space_group_name_H-M_alt 'P 1'
_space_group_IT_number 1
_cell_length_a 7.339
_cell_length_b 7.339
_cell_length_c 7.339
_cell_angle_alpha 60.64
_cell_angle_beta 60.64
_cell_angle_gamma 60.64
loop_
_space_group_symop_operation_xyz
'x,y,z'
loop_
_atom_site_label
_atom_site_type_symbol
_atom_site_fract_x
_atom_site_fract_y
_atom_site_fract_z
K1 K 0.131 0.131 0.131
K2 K 0.869 0.869 0.869
Sb1 Sb 0.500 0.500 0.500
W1 W 0.000 0.500 0.500
W2 W 0.500 0.000 0.500
W3 W 0.500 0.500 0.000
O1 O 0.179 0.568 0.568
O2 O 0.189 0.189 0.562
O3 O 0.189 0.562 0.189
O4 O 0.432 0.432 0.821
O5 O 0.432 0.821 0.432
O6 O 0.438 0.811 0.811
O7 O 0.562 0.189 0.189
O8 O 0.568 0.179 0.568
O9 O 0.568 0.568 0.179
O10 O 0.811 0.438 0.811
O11 O 0.811 0.811 0.438
O12 O 0.821 0.432 0.432
# * VASP energy: -6.786 eV per atom
# * N(E_F): 0.170 states/eV/atom
# * M_tot: 1.000 μB per cell